(1)
This record from Alexandria describes a geometry-optimized Sr4Th3WN8 structure. The functional is PBE-GGA.

ΔE_f (raw): -16.84 eV per formula unit
Crystal system: trigonal

a b c (Å): 7.1743 7.1743 18.0319
angles (deg): 90.00 90.00 120.00
With the nearest neighbours (Å) after each atom.
Space group R-3m (No. 166, hexagonal axes)
Unique sites:
Sr1 0.0000 0.0000 0.0000 x3  6 N 2.92
Sr2 0.0000 0.5000 0.0000 x9  6 N 2.68-2.70
Th1 0.0000 0.5000 0.5000 x9  6 N 2.43-2.49
W1 0.0000 0.0000 0.5000 x3  6 N 2.20
N1 0.0000 0.0000 0.2374 x6  3 Th 2.43, 3 Sr 2.70
N2 0.0353 0.5177 0.2327 x18  1 W 2.20



(2)
This record from Alexandria describes a geometry-optimized MgNiAgN2 structure. The functional is PBE-GGA.

ΔE_f (raw): 8.36 eV per formula unit
Crystal system: tetragonal

a b c (Å): 3.9195 3.9195 4.8686
angles (deg): 90.00 90.00 90.00
With the nearest neighbours (Å) after each atom.
Space group P4/mmm (No. 123)
Unique sites:
Mg1 0.0000 0.0000 0.0000 x1  4 N 1.96
Ni1 0.5000 0.5000 0.5000 x1  4 Ag 2.77
Ag1 0.0000 0.0000 0.5000 x1  2 Mg 2.43
N1 0.0000 0.5000 0.0000 x2  2 Mg 1.96



(3)
This record from Alexandria describes a geometry-optimized HoFe4Sb12 structure. The functional is PBE-GGA.

ΔE_f (raw): -2.66 eV per formula unit
Crystal system: cubic

a b c (Å): 9.1630 9.1630 9.1630
angles (deg): 90.00 90.00 90.00
With the nearest neighbours (Å) after each atom.
Space group Im-3 (No. 204)
Unique sites:
Ho1 0.0000 0.0000 0.0000 x2  12 Sb 3.39
Fe1 0.2500 0.2500 0.2500 x8  6 Sb 2.55
Sb1 0.0000 0.3327 0.1616 x24  2 Fe 2.55



(4)
This record from Alexandria describes a geometry-optimized Sc4TaCr structure. The functional is PBE-GGA.

Energy of formation: 0.67 eV per atom
Crystal system: cubic

a b c (Å): 8.0438 8.0438 8.0438
angles (deg): 90.00 90.00 90.00
With the nearest neighbours (Å) after each atom.
Space group F-43m (No. 216)
Unique sites:
Sc1 0.1235 0.1235 0.1235 x16  6 Sc 2.81-2.88
Ta1 0.2500 0.2500 0.7500 x4  12 Sc 3.33, 4 Cr 3.48
Cr1 0.0000 0.0000 0.5000 x4  12 Sc 3.34, 4 Ta 3.48



(5)
This record from Alexandria describes a geometry-optimized PmPr2Cd6 structure. The functional is PBE-GGA.

Polymorph energy (0 for the lowest one): 79.5 meV per atom
Energy of formation: -0.27 eV per atom
Crystal system: orthorhombic

a b c (Å): 3.4394 8.8804 15.6448
angles (deg): 90.00 90.00 90.00
With the nearest neighbours (Å) after each atom.
Space group Immm (No. 71)
Unique sites:
Pm1 0.0000 0.0000 0.0000 x2  12 Cd 3.37-3.46, 2 Pm 3.44
Pr1 0.0000 0.5000 0.1517 x4  10 Cd 3.22-3.41, 2 Pr 3.44
Cd1 0.0000 0.1733 0.5000 x4  3 Cd 2.95-3.08
Cd2 0.0000 0.3303 0.3338 x8  2 Cd 2.95-3.01, 1 Pr 3.22



(6)
This record from Alexandria describes a geometry-optimized V2ZnSbH structure. The functional is PBE-GGA.

E_tot: -26.1 eV for the cell shown
Crystal system: tetragonal

a b c (Å): 3.9525 3.9525 4.1950
angles (deg): 90.00 90.00 90.00
With the nearest neighbours (Å) after each atom.
Space group P4/mmm (No. 123)
Unique sites:
V1 0.0000 0.5000 0.0000 x2  2 H 1.98
Zn1 0.0000 0.0000 0.5000 x1  2 H 2.10
Sb1 0.5000 0.5000 0.5000 x1  4 Zn 2.79, 8 V 2.88
H1 0.0000 0.0000 0.0000 x1  4 V 1.98, 2 Zn 2.10



(7)
This record from Alexandria describes a geometry-optimized LiGaC structure. The functional is PBE-GGA.

Energy of formation: 0.11 eV per atom
Crystal system: orthorhombic

a b c (Å): 3.1947 19.1717 2.5995
angles (deg): 90.00 90.00 90.00
With the nearest neighbours (Å) after each atom.
Space group Cmcm (No. 63)
Unique sites:
Li1 0.0000 0.0725 0.2500 x4  6 C 2.28-2.36
Ga1 0.0000 0.3013 0.7500 x4  6 Ga 2.60-2.85, 2 Li 2.90
C1 0.0000 0.4874 0.2500 x4  2 C 1.39



(8)
This record from Alexandria describes a geometry-optimized Mn2PPb structure. The functional is PBE-GGA.

Energy of formation: 0.43 eV per atom
Crystal system: monoclinic

a b c (Å): 5.9714 6.6658 3.6646
angles (deg): 90.00 100.54 90.00
With the nearest neighbours (Å) after each atom.
Space group C2/m (No. 12)
Unique sites:
Mn1 0.2500 0.2500 0.0000 x4  2 Pb 2.71, 2 P 2.71, 2 Mn 2.99
P1 0.0000 0.0000 0.5000 x2  4 Mn 2.71, 2 Pb 2.99
Pb1 0.0000 0.5000 0.5000 x2  4 Mn 2.71, 2 P 2.99



(9)
This record from Alexandria describes a geometry-optimized Sc2SbAu structure. The functional is PBE-GGA.

ΔE_f (raw): -2.83 eV per formula unit
Crystal system: tetragonal

a b c (Å): 4.5767 4.5767 8.0489
angles (deg): 90.00 90.00 90.00
With the nearest neighbours (Å) after each atom.
Space group I4/mmm (No. 139)
Unique sites:
Sc1 0.0000 0.5000 0.2500 x4  4 Sb 3.05, 4 Au 3.05, 4 Sc 3.24
Sb1 0.0000 0.0000 0.0000 x2  8 Sc 3.05, 4 Au 3.24
Au1 0.0000 0.0000 0.5000 x2  8 Sc 3.05, 4 Sb 3.24



(10)
This record from Alexandria describes a geometry-optimized Th2ScTlC structure. The functional is PBE-GGA.

Energy of formation: -0.32 eV per atom
Crystal system: tetragonal

a b c (Å): 5.1081 5.1081 4.6632
angles (deg): 90.00 90.00 90.00
With the nearest neighbours (Å) after each atom.
Space group P4/mmm (No. 123)
Unique sites:
Th1 0.0000 0.5000 0.0000 x2  2 C 2.55
Sc1 0.0000 0.0000 0.5000 x1  2 C 2.33
Tl1 0.5000 0.5000 0.5000 x1  8 Th 3.46, 4 Sc 3.61
C1 0.0000 0.0000 0.0000 x1  2 Sc 2.33, 4 Th 2.55



(11)
This record from Alexandria describes a geometry-optimized BeCo2H structure. The functional is PBE-GGA.

Polymorph energy (0 for the lowest one): 0.0 meV per atom
Crystal system: monoclinic

a b c (Å): 4.3584 2.5249 5.8644
angles (deg): 90.00 104.50 90.00
With the nearest neighbours (Å) after each atom.
Space group Cm (No. 8)
Unique sites:
Be1 0.0000 0.0000 0.0000 x2  6 Co 2.28-2.30, 6 Be 2.52
Co1 0.0623 0.5000 0.6911 x2  3 H 1.81
Co2 0.2681 0.5000 0.3108 x2  3 H 1.81
H1 0.1654 0.0000 0.5009 x2  6 Co 1.81



(12)
This record from Alexandria describes a geometry-optimized Sr2CoTe structure. The functional is PBE-GGA.

ΔE_f (raw): -1.17 eV per formula unit
Crystal system: orthorhombic

a b c (Å): 4.5915 4.6516 6.5585
angles (deg): 90.00 90.00 90.00
With the nearest neighbours (Å) after each atom.
Space group Pmm2 (No. 25)
Unique sites:
Sr1 0.0000 0.0000 0.0000 x1  2 Co 3.22-3.34, 4 Te 3.27
Sr2 0.5000 0.5000 0.4816 x1  4 Co 3.27, 2 Te 3.27-3.29
Co1 0.0000 0.0000 0.4904 x1  6 Sr 3.22-3.34
Te1 0.5000 0.5000 0.9805 x1  6 Sr 3.27-3.29



Which formula does entry 4 have?
Sc4TaCr



Which formula does entry 12 have?
Sr2CoTe